Record 1
5
Lattice="-3.2022 -0.6620 -3.0122 0.7371 -4.3807 0.1792 -2.9947 -0.3703 3.2650" Properties=species:S:1:pos:R:3 comment="PBE FeGe3Rh, relaxed" relative_energy_mev_per_atom=0.0 sg="No. 221" final_energy_ev_per_atom=-5.519 ef_mev_per_atom=415 n_ef_per_ev_cell=5.16 magmom_total_mub_per_cell=0.00 pbc="T T T"
Ge 0.3685 -2.1903 0.0896
Ge -1.4973 -0.1852 1.6325
Ge -1.6011 -0.3310 -1.5061
Rh -2.7299 -2.7065 0.2160
Fe 0.0000 0.0000 0.0000

Record 2
4
Lattice="-7.8601 2.5850 6.1293 -9.5284 0.8149 3.8179 -8.0436 -0.7557 6.3845" Properties=species:S:1:pos:R:3 comment="PBE ZrHg2Sb, relaxed" sg="No. 160" final_energy_ev_per_atom=-3.388 formation_energy_uncorrected_ev_per_atom=-0.069 n_ef_per_ev_cell=3.00 magmom_total_mub_per_cell=0.00 pbc="T T T"
Hg -0.1061 0.0110 0.0681
Hg -6.4364 0.6692 4.1332
Sb -12.5523 1.3051 8.0607
Zr -19.0534 1.9810 12.2354

Record 3
8
Lattice="5.0754 0.0007 0.0000 -2.5375 5.4376 0.0000 0.0000 0.0000 9.7603" Properties=species:S:1:pos:R:3 comment="PBE Ca2PrHg, relaxed" relative_energy_mev_per_atom=18.7 sg="No. 63" final_energy_ev_per_atom=-2.471 ef_mev_per_atom=-200 n_ef_per_ev_cell=10.59 magmom_total_mub_per_cell=0.00 pbc="T T T"
Ca -0.0004 3.7969 5.4969
Ca 2.5383 1.6414 4.2633
Ca -0.0004 3.7969 9.1435
Ca 2.5383 1.6414 0.6168
Pr 2.5383 4.9499 2.4401
Pr -0.0004 0.4884 7.3202
Hg 2.5372 2.6119 7.3202
Hg 0.0007 2.8265 2.4401

Record 4
12
Lattice="3.3796 0.0000 0.0000 0.0000 9.8566 -0.4814 -1.6898 -2.9321 10.9030" Properties=species:S:1:pos:R:3 comment="PBE TbDy3Sc2, relaxed" relative_energy_mev_per_atom=0.0 sg="No. 12" final_energy_ev_per_atom=-5.033 ef_mev_per_atom=150 n_ef_per_ev_cell=21.57 magmom_total_mub_per_cell=0.00 pbc="T T T"
Tb 0.0000 7.5723 6.4086
Tb 1.6898 -0.6477 4.0130
Dy 0.0000 1.1049 6.4602
Dy 0.0000 7.2149 1.1264
Dy 0.0000 3.0024 9.3290
Dy 1.6898 5.8196 3.9614
Dy 1.6898 3.9222 1.0926
Dy 1.6898 -0.2903 9.2952
Sc 0.0000 4.3735 6.4201
Sc 1.6898 2.5510 4.0015
Sc 1.6898 5.9757 8.9279
Sc 0.0000 0.9489 1.4937

Record 5
8
Lattice="7.6603 0.0000 0.0000 0.0000 7.6603 0.0000 3.8302 3.8302 1.9699" Properties=species:S:1:pos:R:3 comment="PBE Zn2IrC, relaxed" sg="No. 122" final_energy_ev_per_atom=-4.610 ef_mev_per_atom=548 n_ef_per_ev_cell=1.69 magmom_total_mub_per_cell=0.00 pbc="T T T"
Zn 4.8245 1.9151 0.4925
Zn 2.8358 5.7453 0.4925
Zn 5.7453 6.6660 1.4774
Zn 9.5754 8.6547 1.4774
Ir 0.0000 0.0000 0.0000
Ir 7.6603 3.8302 0.9849
C 3.8302 3.8302 0.0000
C 3.8302 7.6603 0.9849

Record 6
10
Lattice="-0.2759 -2.6440 5.0750 9.0964 -1.1349 -0.0966 -3.6933 7.1247 3.5111" Properties=species:S:1:pos:R:3 comment="PBE CsPu2Br7, relaxed" sg="No. 65" final_energy_ev_per_atom=-5.691 formation_energy_uncorrected_ev_per_atom=-1.568 n_ef_per_ev_cell=27.52 magmom_total_mub_per_cell=10.00 pbc="T T T"
Cs 0.0000 0.0000 0.0000
Pu 4.7431 0.6635 3.8373
Pu 0.3841 2.6824 4.6521
Br 4.8932 2.0792 1.3493
Br 0.5098 3.9107 2.0652
Br 3.3241 3.0372 4.9968
Br 1.8030 0.3087 3.4926
Br 7.4980 -0.4018 3.4321
Br -2.3708 3.7477 5.0573
Br 4.4102 -1.8894 2.4892

Record 7
13
Lattice="-2.7698 -4.5915 -1.5554 6.6135 -3.3859 -1.7819 -2.6206 -1.8813 10.2291" Properties=species:S:1:pos:R:3 comment="PBE Sm3Dy2Er8, relaxed" relative_energy_mev_per_atom=230.0 sg="No. 65" final_energy_ev_per_atom=-4.353 ef_mev_per_atom=252 n_ef_per_ev_cell=22.70 magmom_total_mub_per_cell=0.00 pbc="T T T"
Sm -1.3849 -2.2958 -0.7777
Sm 1.9191 -0.9825 -0.5171
Sm 4.6944 -2.4034 -1.2649
Dy -1.0530 -4.0177 3.7262
Dy 2.2761 -5.8411 3.1656
Er 3.5390 -2.9088 2.2810
Er -2.3159 -6.9500 4.6107
Er -2.5853 -5.5503 0.9509
Er 3.8085 -4.3085 5.9408
Er 0.5392 -5.7986 6.1453
Er -2.2362 -4.3778 6.8931
Er 3.4593 -5.4810 -0.0013
Er 0.6839 -4.0601 0.7465

Record 8
4
Lattice="-5.7430 4.7075 2.4253 -6.8889 2.4009 2.7936 -5.3158 3.3786 4.6209" Properties=species:S:1:pos:R:3 comment="PBE Co2CuSi, relaxed" sg="No. 166" final_energy_ev_per_atom=-6.017 formation_energy_uncorrected_ev_per_atom=-0.084 n_ef_per_ev_cell=3.07 magmom_total_mub_per_cell=0.00 pbc="T T T"
Co -0.1234 0.0721 0.0676
Co -8.8505 5.1714 4.8523
Cu -4.4869 2.6217 2.4600
Si -13.4607 7.8652 7.3799